Record 1
The following is a DFT calculation (GGA-PBE) of a relaxed Pm7Os2Au2 crystal.

Values from the calculation:
E_form (eV per atom): -0.25
Crystal system: orthorhombic

a = 6.8625 Å, b = 6.8625 Å, c = 7.1180 Å
α = 90.00°, β = 90.00°, γ = 107.51°
Element x y z (fractional)
1 Pm 0.0000 0.0000 0.0000
2 Pm 0.0000 0.5000 0.2587
3 Pm 0.0000 0.5000 0.7413
4 Pm 0.5000 0.0000 0.2587
5 Pm 0.5000 0.0000 0.7413
6 Pm 0.5000 0.5000 0.2489
7 Pm 0.5000 0.5000 0.7511
8 Os 0.2938 0.7062 0.0000
9 Os 0.7062 0.2938 0.0000
10 Au 0.1816 0.1816 0.5000
11 Au 0.8184 0.8184 0.5000

Record 2
The following is a DFT calculation (GGA-PBE) of a relaxed Na3TmF6 crystal.

Values from the calculation:
Formation energy (no corrections) (eV per atom): -3.32
Crystal system: monoclinic
ΔE to the lowest computed polymorph (meV per atom): 0

a = 5.7914 Å, b = 5.9468 Å, c = 10.1084 Å
α = 90.00°, β = 123.47°, γ = 90.00°
Element x y z (fractional)
1 Na 0.0000 0.0000 0.0000
2 Na 0.0000 0.5000 0.5000
3 Na 0.2179 0.0501 0.7312
4 Na 0.2179 0.4499 0.2312
5 Na 0.7821 0.5501 0.7688
6 Na 0.7821 0.9499 0.2688
7 Tm 0.5000 0.0000 0.5000
8 Tm 0.5000 0.5000 0.0000
9 F 0.1397 0.1786 0.4492
10 F 0.1397 0.3214 0.9492
11 F 0.2357 0.7077 0.4097
12 F 0.2357 0.7923 0.9097
13 F 0.4013 0.0851 0.2674
14 F 0.4013 0.4149 0.7674
15 F 0.5987 0.5851 0.2326
16 F 0.5987 0.9149 0.7326
17 F 0.7643 0.2077 0.0903
18 F 0.7643 0.2923 0.5903
19 F 0.8603 0.6786 0.0508
20 F 0.8603 0.8214 0.5508

Record 3
The following is a DFT calculation (GGA-PBE) of a relaxed SrHgOs crystal.

Values from the calculation:
E_form (eV per atom): 0.90
Crystal system: cubic
ΔE to the lowest computed polymorph (meV per atom): 281

a = 6.8771 Å, b = 6.8771 Å, c = 6.8771 Å
α = 90.00°, β = 90.00°, γ = 90.00°
Element x y z (fractional)
1 Sr 0.0000 0.0000 0.0000
2 Sr 0.0000 0.5000 0.5000
3 Sr 0.5000 0.0000 0.5000
4 Sr 0.5000 0.5000 0.0000
5 Hg 0.0000 0.0000 0.5000
6 Hg 0.0000 0.5000 0.0000
7 Hg 0.5000 0.0000 0.0000
8 Hg 0.5000 0.5000 0.5000
9 Os 0.2500 0.2500 0.7500
10 Os 0.2500 0.7500 0.2500
11 Os 0.7500 0.2500 0.2500
12 Os 0.7500 0.7500 0.7500

Record 4
The following is a DFT calculation (GGA-PBE) of a relaxed LaMgRe crystal.

Values from the calculation:
E_form (eV per atom): 0.48
Crystal system: tetragonal
ΔE to the lowest computed polymorph (meV per atom): 0

a = 3.5593 Å, b = 3.5593 Å, c = 10.7539 Å
α = 90.00°, β = 90.00°, γ = 90.00°
Element x y z (fractional)
1 La 0.0000 0.0000 0.0000
2 La 0.5000 0.5000 0.5000
3 Mg 0.0000 0.0000 0.2812
4 Mg 0.5000 0.5000 0.7812
5 Re 0.0000 0.0000 0.6669
6 Re 0.5000 0.5000 0.1669